Arrangement a

This record from the Alexandria database describes an optimized crystal structure of LuThAu. The functional is PBE-GGA.

Results
Its density of states at the Fermi level is 9.86 states/eV/cell.

The structure in CIF format:
```
data_LuThAu
_cell_length_a 3.5492
_cell_length_b 3.5492
_cell_length_c 12.5791
_cell_angle_alpha 90.00
_cell_angle_beta 90.00
_cell_angle_gamma 90.00
_symmetry_space_group_name_H-M 'I 4 m m'
_symmetry_Int_Tables_number 107
_symmetry_space_group_name_Hall 'I 4 -2'
loop_
_atom_site_label
_atom_site_fract_x
_atom_site_fract_y
_atom_site_fract_z
Lu1 0.0000 0.0000 0.0000
Th1 0.0000 0.0000 0.6988
Au1 0.0000 0.0000 0.3727
```


Arrangement b

This record from the Alexandria database describes an optimized crystal structure of LuThAu. The functional is PBE-GGA.

Results
Its density of states at the Fermi level is 17.79 states/eV/cell.

The structure in CIF format:
```
data_LuThAu
_cell_length_a 7.0843
_cell_length_b 7.0843
_cell_length_c 7.0843
_cell_angle_alpha 90.00
_cell_angle_beta 90.00
_cell_angle_gamma 90.00
_symmetry_space_group_name_H-M 'F -4 3 m'
_symmetry_Int_Tables_number 216
_symmetry_space_group_name_Hall 'F -4 2 3'
loop_
_atom_site_label
_atom_site_fract_x
_atom_site_fract_y
_atom_site_fract_z
Lu1 0.0000 0.0000 0.0000
Th1 0.0000 0.0000 0.5000
Au1 0.2500 0.2500 0.2500
```


Arrangement c

This record from the Alexandria database describes an optimized crystal structure of LuThAu. The functional is PBE-GGA.

Results
Its density of states at the Fermi level is 3.71 states/eV/cell.

The structure in CIF format:
```
data_LuThAu
_cell_length_a 4.9208
_cell_length_b 4.9208
_cell_length_c 3.8800
_cell_angle_alpha 90.00
_cell_angle_beta 90.00
_cell_angle_gamma 120.00
_symmetry_space_group_name_H-M 'P 3 m 1'
_symmetry_Int_Tables_number 156
loop_
_symmetry_equiv_pos_as_xyz
'x,y,z'
'-y,x-y,z'
'-x+y,-x,z'
'-y,-x,z'
'-x+y,y,z'
'x,x-y,z'
loop_
_atom_site_label
_atom_site_fract_x
_atom_site_fract_y
_atom_site_fract_z
Lu1 0.0000 0.0000 0.0000
Th1 0.6667 0.3333 0.5023
Au1 0.3333 0.6667 0.0325
```


From most stable to least stable, the computed energies give arrangement a, arrangement c, arrangement b.


Arrangement a

This record from the Alexandria database describes an optimized crystal structure of LuTiAu2. The functional is PBE-GGA.

Results
Its density of states at the Fermi level is 3.07 states/eV/cell.

The structure in CIF format:
```
data_LuTiAu2
_cell_length_a 3.4058
_cell_length_b 3.4058
_cell_length_c 6.7831
_cell_angle_alpha 90.00
_cell_angle_beta 90.00
_cell_angle_gamma 90.00
_symmetry_space_group_name_H-M 'P 4/m m m'
_symmetry_Int_Tables_number 123
_symmetry_space_group_name_Hall '-P 4 2'
loop_
_atom_site_label
_atom_site_fract_x
_atom_site_fract_y
_atom_site_fract_z
Lu1 0.0000 0.0000 0.0000
Ti1 0.0000 0.0000 0.5000
Au1 0.5000 0.5000 0.2711
```


Arrangement b

This record from the Alexandria database describes an optimized crystal structure of LuTiAu2. The functional is PBE-GGA.

Results
Its density of states at the Fermi level is 20.85 states/eV/cell.

The structure in CIF format:
```
data_LuTiAu2
_cell_length_a 6.8209
_cell_length_b 6.8209
_cell_length_c 6.8209
_cell_angle_alpha 90.00
_cell_angle_beta 90.00
_cell_angle_gamma 90.00
_symmetry_space_group_name_H-M 'F m -3 m'
_symmetry_Int_Tables_number 225
_symmetry_space_group_name_Hall '-F 4 2 3'
loop_
_atom_site_label
_atom_site_fract_x
_atom_site_fract_y
_atom_site_fract_z
Lu1 0.0000 0.0000 0.0000
Ti1 0.0000 0.0000 0.5000
Au1 0.2500 0.2500 0.2500
```


From most stable to least stable, the computed energies give arrangement a, arrangement b.


Arrangement a

This record from the Alexandria database describes an optimized crystal structure of LuTlAu2. The functional is PBE-GGA.

Results
Its density of states at the Fermi level is 1.60 states/eV/cell.

The structure in CIF format:
```
data_LuTlAu2
_cell_length_a 3.6622
_cell_length_b 3.6622
_cell_length_c 6.7210
_cell_angle_alpha 90.00
_cell_angle_beta 90.00
_cell_angle_gamma 90.00
_symmetry_space_group_name_H-M 'P 4/m m m'
_symmetry_Int_Tables_number 123
_symmetry_space_group_name_Hall '-P 4 2'
loop_
_atom_site_label
_atom_site_fract_x
_atom_site_fract_y
_atom_site_fract_z
Lu1 0.0000 0.0000 0.0000
Tl1 0.0000 0.0000 0.5000
Au1 0.5000 0.5000 0.2210
```


Arrangement b

This record from the Alexandria database describes an optimized crystal structure of LuTlAu2. The functional is PBE-GGA.

Results
Its density of states at the Fermi level is 6.36 states/eV/cell.

The structure in CIF format:
```
data_LuTlAu2
_cell_length_a 7.0347
_cell_length_b 7.0347
_cell_length_c 7.0347
_cell_angle_alpha 90.00
_cell_angle_beta 90.00
_cell_angle_gamma 90.00
_symmetry_space_group_name_H-M 'F m -3 m'
_symmetry_Int_Tables_number 225
_symmetry_space_group_name_Hall '-F 4 2 3'
loop_
_atom_site_label
_atom_site_fract_x
_atom_site_fract_y
_atom_site_fract_z
Lu1 0.0000 0.0000 0.0000
Tl1 0.0000 0.0000 0.5000
Au1 0.2500 0.2500 0.2500
```


Arrangement c

This record from the Alexandria database describes an optimized crystal structure of LuTlAu2. The functional is PBE-GGA.

Results
Its density of states at the Fermi level is 3.00 states/eV/cell.

The structure in CIF format:
```
data_LuTlAu2
_cell_length_a 4.8210
_cell_length_b 4.8210
_cell_length_c 3.8025
_cell_angle_alpha 90.00
_cell_angle_beta 90.00
_cell_angle_gamma 90.00
_symmetry_space_group_name_H-M 'P 4/m m m'
_symmetry_Int_Tables_number 123
_symmetry_space_group_name_Hall '-P 4 2'
loop_
_atom_site_label
_atom_site_fract_x
_atom_site_fract_y
_atom_site_fract_z
Lu1 0.0000 0.0000 0.0000
Tl1 0.5000 0.5000 0.0000
Au1 0.0000 0.5000 0.5000
```


Arrangement d

This record from the Alexandria database describes an optimized crystal structure of LuTlAu2. The functional is PBE-GGA.

Results
Its density of states at the Fermi level is 5.86 states/eV/cell.

The structure in CIF format:
```
data_LuTlAu2
_cell_length_a 3.9134
_cell_length_b 3.9134
_cell_length_c 22.6556
_cell_angle_alpha 90.00
_cell_angle_beta 90.00
_cell_angle_gamma 120.00
_symmetry_space_group_name_H-M 'R -3 m'
_symmetry_Int_Tables_number 166
_symmetry_space_group_name_Hall '-R 3 2"'
loop_
_atom_site_label
_atom_site_fract_x
_atom_site_fract_y
_atom_site_fract_z
Lu1 0.0000 0.0000 0.0000
Tl1 0.0000 0.0000 0.5000
Au1 0.0000 0.0000 0.2543
```


From most stable to least stable, the computed energies give arrangement a, arrangement b, arrangement d, arrangement c.


Arrangement a

This record from the Alexandria database describes an optimized crystal structure of TmLuAu. The functional is PBE-GGA.

Results
Its density of states at the Fermi level is 1.97 states/eV/cell.

The structure in CIF format:
```
data_TmLuAu
_cell_length_a 4.8445
_cell_length_b 4.8445
_cell_length_c 3.7111
_cell_angle_alpha 90.00
_cell_angle_beta 90.00
_cell_angle_gamma 120.00
_symmetry_space_group_name_H-M 'P 3 m 1'
_symmetry_Int_Tables_number 156
loop_
_symmetry_equiv_pos_as_xyz
'x,y,z'
'-y,x-y,z'
'-x+y,-x,z'
'-y,-x,z'
'-x+y,y,z'
'x,x-y,z'
loop_
_atom_site_label
_atom_site_fract_x
_atom_site_fract_y
_atom_site_fract_z
Tm1 0.0000 0.0000 0.0000
Lu1 0.3333 0.6667 0.5218
Au1 0.6667 0.3333 0.2755
```


Arrangement b

This record from the Alexandria database describes an optimized crystal structure of TmLuAu. The functional is PBE-GGA.

Results
Its density of states at the Fermi level is 13.42 states/eV/cell.

The structure in CIF format:
```
data_TmLuAu
_cell_length_a 6.9081
_cell_length_b 6.9081
_cell_length_c 6.9081
_cell_angle_alpha 90.00
_cell_angle_beta 90.00
_cell_angle_gamma 90.00
_symmetry_space_group_name_H-M 'F -4 3 m'
_symmetry_Int_Tables_number 216
_symmetry_space_group_name_Hall 'F -4 2 3'
loop_
_atom_site_label
_atom_site_fract_x
_atom_site_fract_y
_atom_site_fract_z
Tm1 0.0000 0.0000 0.0000
Lu1 0.0000 0.0000 0.5000
Au1 0.2500 0.2500 0.2500
```


From most stable to least stable, the computed energies give arrangement b, arrangement a.


Arrangement a

This record from the Alexandria database describes an optimized crystal structure of YLuAu2. The functional is PBE-GGA.

Results
Its density of states at the Fermi level is 2.00 states/eV/cell.

The structure in CIF format:
```
data_YLuAu2
_cell_length_a 3.5411
_cell_length_b 3.5411
_cell_length_c 7.2302
_cell_angle_alpha 90.00
_cell_angle_beta 90.00
_cell_angle_gamma 90.00
_symmetry_space_group_name_H-M 'P 4/m m m'
_symmetry_Int_Tables_number 123
_symmetry_space_group_name_Hall '-P 4 2'
loop_
_atom_site_label
_atom_site_fract_x
_atom_site_fract_y
_atom_site_fract_z
Y1 0.0000 0.0000 0.0000
Lu1 0.0000 0.0000 0.5000
Au1 0.5000 0.5000 0.2638
```


Arrangement b

This record from the Alexandria database describes an optimized crystal structure of YLuAu2. The functional is PBE-GGA.

Results
Its density of states at the Fermi level is 9.67 states/eV/cell.

The structure in CIF format:
```
data_YLuAu2
_cell_length_a 7.1407
_cell_length_b 7.1407
_cell_length_c 7.1407
_cell_angle_alpha 90.00
_cell_angle_beta 90.00
_cell_angle_gamma 90.00
_symmetry_space_group_name_H-M 'F m -3 m'
_symmetry_Int_Tables_number 225
_symmetry_space_group_name_Hall '-F 4 2 3'
loop_
_atom_site_label
_atom_site_fract_x
_atom_site_fract_y
_atom_site_fract_z
Y1 0.0000 0.0000 0.0000
Lu1 0.0000 0.0000 0.5000
Au1 0.2500 0.2500 0.2500
```


From most stable to least stable, the computed energies give arrangement a, arrangement b.


Arrangement a

This record from the Alexandria database describes an optimized crystal structure of YLu2Au. The functional is PBE-GGA.

Results
Its density of states at the Fermi level is 14.37 states/eV/cell.

The structure in CIF format:
```
data_YLu2Au
_cell_length_a 3.6657
_cell_length_b 3.6657
_cell_length_c 29.2234
_cell_angle_alpha 90.00
_cell_angle_beta 90.00
_cell_angle_gamma 120.00
_symmetry_space_group_name_H-M 'R -3 m'
_symmetry_Int_Tables_number 166
_symmetry_space_group_name_Hall '-R 3 2"'
loop_
_atom_site_label
_atom_site_fract_x
_atom_site_fract_y
_atom_site_fract_z
Y1 0.0000 0.0000 0.0000
Lu1 0.0000 0.0000 0.2353
Au1 0.0000 0.0000 0.5000
```


Arrangement b

This record from the Alexandria database describes an optimized crystal structure of YLu2Au. The functional is PBE-GGA.

Results
Its density of states at the Fermi level is 5.73 states/eV/cell.

The structure in CIF format:
```
data_YLu2Au
_cell_length_a 3.5223
_cell_length_b 3.5223
_cell_length_c 8.6542
_cell_angle_alpha 90.00
_cell_angle_beta 90.00
_cell_angle_gamma 90.00
_symmetry_space_group_name_H-M 'P 4/m m m'
_symmetry_Int_Tables_number 123
_symmetry_space_group_name_Hall '-P 4 2'
loop_
_atom_site_label
_atom_site_fract_x
_atom_site_fract_y
_atom_site_fract_z
Y1 0.0000 0.0000 0.0000
Lu1 0.5000 0.5000 0.2977
Au1 0.0000 0.0000 0.5000
```


From most stable to least stable, the computed energies give arrangement b, arrangement a.